(1)
Compound: Cd2ReIr
Source: the Alexandria database
Functional: meta-GGA SCAN
Structure: PBEsol geometry

Unit cell a=4.180 b=4.180 c=7.467 alpha=90.00 beta=90.00 gamma=90.00
Positions (direct):
Cd (0.000, 0.000, 0.000)
Cd (0.000, 0.500, 0.250)
Cd (0.500, 0.000, 0.750)
Cd (0.500, 0.500, 0.500)
Re (0.000, 0.500, 0.750)
Re (0.500, 0.000, 0.250)
Ir (0.000, 0.000, 0.500)
Ir (0.500, 0.500, 0.000)

DFT total energy in eV/atom: -50.173
ΔH_f (0 K) in meV/atom: 584
DOS(E_F) in states/eV/atom: 0.6512
Space group: I-4m2
Excess energy over the best structure of this formula in the dataset in meV/atom: 73.6

(2)
Compound: CdReIr2
Source: the Alexandria database
Functional: meta-GGA SCAN
Structure: PBEsol geometry

Unit cell a=2.761 b=2.761 c=27.634 alpha=90.00 beta=90.00 gamma=120.00
Positions (direct):
Cd (0.000, 0.000, 0.000)
Cd (0.333, 0.667, 0.667)
Cd (0.667, 0.333, 0.333)
Re (0.000, 0.000, 0.243)
Re (0.333, 0.667, 0.910)
Re (0.667, 0.333, 0.576)
Ir (0.000, 0.000, 0.501)
Ir (0.000, 0.000, 0.753)
Ir (0.333, 0.667, 0.167)
Ir (0.333, 0.667, 0.420)
Ir (0.667, 0.333, 0.086)
Ir (0.667, 0.333, 0.834)

DFT total energy in eV/atom: -60.758
ΔH_f (0 K) in meV/atom: 170
DOS(E_F) in states/eV/atom: 0.7362
Space group: R3m

(3)
Compound: CdReIr2
Source: the Alexandria database
Functional: meta-GGA SCAN
Structure: PBEsol geometry

Unit cell a=2.794 b=2.794 c=7.829 alpha=90.00 beta=90.00 gamma=90.00
Positions (direct):
Cd (0.000, 0.000, 0.000)
Re (0.000, 0.000, 0.500)
Ir (0.500, 0.500, 0.273)
Ir (0.500, 0.500, 0.727)

DFT total energy in eV/atom: -61.049
ΔH_f (0 K) in meV/atom: -122
DOS(E_F) in states/eV/atom: 0.4959
Space group: P4/mmm

(4)
Compound: Cd2ReIr
Source: the Alexandria database
Functional: meta-GGA SCAN
Structure: PBEsol geometry

Unit cell a=2.909 b=4.723 c=9.548 alpha=90.00 beta=90.00 gamma=90.00
Positions (direct):
Cd (0.000, 0.000, 0.245)
Cd (0.000, 0.000, 0.755)
Cd (0.500, 0.500, 0.245)
Cd (0.500, 0.500, 0.755)
Re (0.000, 0.500, 0.500)
Re (0.500, 0.000, 0.500)
Ir (0.000, 0.500, 0.000)
Ir (0.500, 0.000, 0.000)

DFT total energy in eV/atom: -50.246
ΔH_f (0 K) in meV/atom: 510
DOS(E_F) in states/eV/atom: 0.7635
Space group: Cmmm
Excess energy over the best structure of this formula in the dataset in meV/atom: 0.0

(5)
Compound: CdReIr2
Source: the Alexandria database
Functional: meta-GGA SCAN
Structure: PBEsol geometry

Unit cell a=5.656 b=7.709 c=2.772 alpha=90.00 beta=90.00 gamma=90.00
Positions (direct):
Cd (0.000, 0.000, 0.000)
Cd (0.500, 0.500, 0.000)
Re (0.000, 0.500, 0.000)
Re (0.500, 0.000, 0.000)
Ir (0.250, 0.250, 0.500)
Ir (0.250, 0.750, 0.500)
Ir (0.750, 0.250, 0.500)
Ir (0.750, 0.750, 0.500)

DFT total energy in eV/atom: -60.682
ΔH_f (0 K) in meV/atom: 245
DOS(E_F) in states/eV/atom: 0.8204
Space group: Cmmm

(6)
Compound: CdIr2Rh
Source: the Alexandria database
Functional: meta-GGA SCAN
Structure: PBEsol geometry

Unit cell a=6.233 b=6.233 c=6.233 alpha=90.00 beta=90.00 gamma=90.00
Positions (direct):
Cd (0.000, 0.000, 0.000)
Cd (0.000, 0.500, 0.500)
Cd (0.500, 0.000, 0.500)
Cd (0.500, 0.500, 0.000)
Ir (0.000, 0.000, 0.500)
Ir (0.000, 0.500, 0.000)
Ir (0.250, 0.250, 0.250)
Ir (0.250, 0.750, 0.750)
Ir (0.500, 0.000, 0.000)
Ir (0.500, 0.500, 0.500)
Ir (0.750, 0.250, 0.750)
Ir (0.750, 0.750, 0.250)
Rh (0.250, 0.250, 0.750)
Rh (0.250, 0.750, 0.250)
Rh (0.750, 0.250, 0.250)
Rh (0.750, 0.750, 0.750)

DFT total energy in eV/atom: -51.195
ΔH_f (0 K) in meV/atom: 401
DOS(E_F) in states/eV/atom: 0.9431
Space group: F-43m

(7)
Compound: CdIr4Rh
Source: the Alexandria database
Functional: meta-GGA SCAN
Structure: PBEsol geometry

Unit cell a=5.127 b=5.127 c=5.127 alpha=60.00 beta=60.00 gamma=60.00
Positions (direct):
Cd (0.000, 0.000, 0.000)
Ir (0.126, 0.625, 0.625)
Ir (0.625, 0.126, 0.625)
Ir (0.625, 0.625, 0.126)
Ir (0.625, 0.625, 0.625)
Rh (0.250, 0.250, 0.250)

DFT total energy in eV/atom: -57.627
ΔH_f (0 K) in meV/atom: 470
DOS(E_F) in states/eV/atom: 1.2788
Space group: F-43m

(8)
Compound: CdIr2Rh
Source: the Alexandria database
Functional: meta-GGA SCAN
Structure: PBEsol geometry

Unit cell a=4.647 b=4.647 c=2.798 alpha=90.00 beta=90.00 gamma=90.00
Positions (direct):
Cd (0.000, 0.000, 0.000)
Ir (0.000, 0.500, 0.500)
Ir (0.500, 0.000, 0.500)
Rh (0.500, 0.500, 0.000)

DFT total energy in eV/atom: -51.150
ΔH_f (0 K) in meV/atom: 446
DOS(E_F) in states/eV/atom: 1.1642
Space group: P4/mmm

(9)
Compound: CdIr2Rh
Source: the Alexandria database
Functional: meta-GGA SCAN
Structure: PBEsol geometry

Unit cell a=5.401 b=9.420 c=2.711 alpha=90.00 beta=118.71 gamma=90.00
Positions (direct):
Cd (0.000, 0.000, 0.000)
Cd (0.500, 0.500, 0.000)
Ir (0.250, 0.250, 0.500)
Ir (0.250, 0.750, 0.500)
Ir (0.750, 0.250, 0.500)
Ir (0.750, 0.750, 0.500)
Rh (0.000, 0.500, 0.000)
Rh (0.500, 0.000, 0.000)

DFT total energy in eV/atom: -51.277
ΔH_f (0 K) in meV/atom: 319
DOS(E_F) in states/eV/atom: 1.1038
Space group: C2/m

(10)
Compound: CdIr2Rh
Source: the Alexandria database
Functional: meta-GGA SCAN
Structure: PBEsol geometry

Unit cell a=3.846 b=3.846 c=4.045 alpha=90.00 beta=90.00 gamma=90.00
Positions (direct):
Cd (0.000, 0.000, 0.000)
Ir (0.000, 0.500, 0.500)
Ir (0.500, 0.000, 0.500)
Rh (0.500, 0.500, 0.000)

DFT total energy in eV/atom: -51.336
ΔH_f (0 K) in meV/atom: 260
DOS(E_F) in states/eV/atom: 0.9734
Space group: P4/mmm

(11)
Compound: CdIrRh
Source: the Alexandria database
Functional: meta-GGA SCAN
Structure: PBEsol geometry

Unit cell a=2.760 b=4.762 c=14.099 alpha=90.00 beta=90.00 gamma=90.00
Positions (direct):
Cd (0.000, 0.000, 0.000)
Cd (0.000, 0.500, 0.500)
Cd (0.500, 0.000, 0.500)
Cd (0.500, 0.500, 0.000)
Ir (0.000, 0.000, 0.326)
Ir (0.000, 0.500, 0.826)
Ir (0.500, 0.000, 0.826)
Ir (0.500, 0.500, 0.326)
Rh (0.000, 0.000, 0.670)
Rh (0.000, 0.500, 0.170)
Rh (0.500, 0.000, 0.170)
Rh (0.500, 0.500, 0.670)

DFT total energy in eV/atom: -44.852
ΔH_f (0 K) in meV/atom: 243
DOS(E_F) in states/eV/atom: 0.9559
Space group: Fmm2

(12)
Compound: CdIr2Rh
Source: the Alexandria database
Functional: meta-GGA SCAN
Structure: PBEsol geometry

Unit cell a=2.757 b=2.757 c=27.152 alpha=90.00 beta=90.00 gamma=120.00
Positions (direct):
Cd (0.000, 0.000, 0.000)
Cd (0.333, 0.667, 0.667)
Cd (0.667, 0.333, 0.333)
Ir (0.000, 0.000, 0.245)
Ir (0.000, 0.000, 0.755)
Ir (0.333, 0.667, 0.422)
Ir (0.333, 0.667, 0.912)
Ir (0.667, 0.333, 0.088)
Ir (0.667, 0.333, 0.578)
Rh (0.000, 0.000, 0.500)
Rh (0.333, 0.667, 0.167)
Rh (0.667, 0.333, 0.833)

DFT total energy in eV/atom: -51.460
ΔH_f (0 K) in meV/atom: 136
DOS(E_F) in states/eV/atom: 0.9687
Space group: R-3m